Compound: Na3Tl7Pd2
Source: Alexandria via LeMat-Bulk
Functional: PBE
Structure: optimized geometry

**Total moment**: 0.000 μB/f.u.
**ΔH_f (0 K)**: -101 meV/atom
**E_tot**: -0.1968 Ry per atom

Structure (extended XYZ):
```
12
Lattice="-2.404 4.428 -0.001 -0.688 -0.373 4.638 12.245 6.648 -0.034" Properties=species:S:1:pos:R:3 pbc="T T T"
Na -1.546 2.028 2.318
Na 7.047 3.827 1.353
Na 4.509 2.449 3.251
Tl 5.464 5.835 3.665
Tl 3.688 4.870 0.939
Tl 9.774 5.307 1.877
Tl 0.000 0.000 0.000
Tl 1.783 0.969 2.727
Tl 0.798 3.300 0.384
Tl 8.354 7.404 4.220
Pd 7.296 6.829 1.631
Pd 1.856 3.875 2.972
```

Compound: Na3Tl6Pd
Source: Alexandria via LeMat-Bulk
Functional: PBE
Structure: optimized geometry

**Total moment**: 0.000 μB/f.u.
**ΔH_f (0 K)**: -85 meV/atom
**E_tot**: -0.1778 Ry per atom

Structure (extended XYZ):
```
20
Lattice="-1.054 -7.848 2.998 8.200 1.538 1.444 -3.915 4.814 5.761" Properties=species:S:1:pos:R:3 pbc="T T T"
Na 1.766 1.352 2.453
Na -1.091 -0.419 3.098
Na 1.523 0.541 8.229
Na 1.709 -2.037 1.975
Na 4.323 -1.077 7.105
Na 1.465 -2.849 7.750
Tl 5.147 1.373 1.793
Tl 5.779 -3.922 5.819
Tl 0.708 2.164 5.421
Tl 3.103 3.566 7.765
Tl 4.322 -1.302 3.768
Tl 3.748 1.455 5.144
Tl -0.517 -2.952 5.059
Tl -1.090 -0.194 6.435
Tl 0.129 -5.063 2.438
Tl 2.523 -3.660 4.782
Tl -2.547 2.426 4.384
Tl -1.916 -2.870 8.410
Pd 0.000 0.000 0.000
Pd 1.616 -0.748 5.102
```

Compound: Na2Tl3Pd4
Source: Alexandria via LeMat-Bulk
Functional: PBE
Structure: optimized geometry

**Polymorph energy (0 for the lowest one)**: 0 meV/atom
**Total moment**: 0.000 μB/f.u.
**ΔH_f (0 K)**: -198 meV/atom
**E_tot**: -0.2637 Ry per atom

Structure (extended XYZ):
```
18
Lattice="-4.080 -1.145 4.437 -3.429 -4.910 -4.421 7.072 -5.661 0.801" Properties=species:S:1:pos:R:3 pbc="T T T"
Na -1.129 -4.055 -2.085
Na 0.692 -7.661 2.902
Na 3.792 -5.571 2.050
Na -4.229 -6.145 -1.232
Tl 0.000 0.000 0.000
Tl -3.755 -3.027 0.008
Tl -1.012 -7.165 -0.658
Tl -1.465 -5.123 3.694
Tl 0.575 -4.551 1.475
Tl 1.028 -6.593 -2.876
Pd 0.650 -9.223 0.339
Pd -3.127 -3.065 2.697
Pd -1.087 -2.492 0.478
Pd 2.690 -8.651 -1.879
Pd -1.742 -6.861 -3.372
Pd 1.305 -4.855 4.190
Pd 1.734 -6.589 -0.105
Pd -2.172 -5.127 0.922
```

What is the formula in the third record?
Na2Tl3Pd4

Number 1 is which compound?
Na3Tl7Pd2